Compound: Pr2NdEu
Source: Alexandria
Functional: GGA-PBE
Structure: relaxed

Cell and atoms, written as POSCAR:
```
Pr2NdEu
1.0
-1.8439 3.0743 3.8556
-4.9258 -1.4959 -1.1630
0.4164 -4.0147 3.4003
Pr Eu Nd
2 1 1
direct
0.0000 0.5000 0.0000
0.0000 0.0000 0.5000
0.5000 0.5000 0.5000
0.5000 0.0000 0.0000
```

Symmetry: P4/mmm (123)
E_tot (eV per atom): -6.10
Energy above the lowest structure with this stoichiometry (meV/atom): 0
Energy of formation from the pure elements (meV per atom): 54
Calculated volume (Å³/f.u.): 146.6